[1]
5
Lattice="-0.426 1.265 -4.207 -4.267 -1.124 0.095 -1.044 4.077 1.332" Properties=species:S:1:pos:R:3 comment="KFe3Cu (PBE, optimized geometry)" volume_a3_per_cell=86 polymorph_energy_mev_per_atom=1293 formation_enthalpy_0k_ev_per_fu=12.62 crystal_system=cubic pbc="T T T"
Fe -0.522 2.038 0.666
Cu -2.869 2.109 -1.390
Fe -0.213 0.633 -2.104
K 0.000 0.000 0.000
Fe -2.134 -0.562 0.047

***

[2]
18
Lattice="3.363 0.000 0.000 -1.681 5.328 0.000 0.000 0.000 10.573" Properties=species:S:1:pos:R:3 comment="UCo5B3 (PBE, optimized geometry)" volume_a3_per_cell=189 formation_enthalpy_0k_ev_per_fu=-1.95 crystal_system=orthorhombic pbc="T T T"
U 0.000 1.752 2.643
Co 0.000 4.763 3.752
Co 0.000 0.000 5.287
Co 0.000 4.763 1.534
Co 1.681 0.565 9.039
Co 0.000 2.187 6.063
Co 1.681 0.565 6.821
B 1.681 4.098 2.643
B 0.000 4.123 5.706
Co 1.681 3.141 4.511
Co 0.000 2.187 9.798
B 0.000 4.123 10.154
U 1.681 3.576 7.930
B 1.681 1.205 4.868
Co 1.681 3.141 0.776
B 0.000 1.231 7.930
B 1.681 1.205 0.419
Co 0.000 0.000 0.000

***

[3]
12
Lattice="-2.718 -1.163 -0.292 3.408 -7.391 -2.288 -1.558 1.592 8.155" Properties=species:S:1:pos:R:3 comment="HoZn9Ni2 (PBE, optimized geometry)" volume_a3_per_cell=184 polymorph_energy_mev_per_atom=77 formation_enthalpy_0k_ev_per_fu=-2.05 crystal_system=hexagonal pbc="T T T"
Zn -1.980 -0.684 6.039
Ni 0.097 -1.402 4.674
Zn -0.779 0.796 4.078
Ho 0.000 0.000 0.000
Ni 1.753 -4.396 1.193
Zn -0.501 -3.892 5.046
Zn 0.436 -5.586 3.076
Zn 1.112 -6.277 -0.464
Zn 1.704 -3.695 -1.144
Zn 0.925 -2.899 2.934
Zn -0.367 -3.070 0.529
Zn -1.304 -1.375 2.500

***

[4]
13
Lattice="-13.249 8.302 0.084 -15.360 2.907 0.258 -13.689 5.524 5.152" Properties=species:S:1:pos:R:3 comment="K6Ta7 (PBE, optimized geometry)" volume_a3_per_cell=444 formation_enthalpy_0k_ev_per_fu=15.74 crystal_system=trigonal pbc="T T T"
K -2.668 1.056 0.347
K -6.526 2.582 0.848
Ta -23.981 8.026 2.314
K -26.776 10.593 3.478
K -39.630 15.678 5.148
Ta -19.088 7.501 0.924
Ta -18.317 8.707 3.180
K -15.522 6.141 2.016
Ta -19.291 6.221 3.260
Ta -21.149 8.367 2.747
Ta -23.007 10.512 2.234
Ta -23.210 9.232 4.570
K -35.772 14.151 4.647

***

[5]
4
Lattice="4.395 -0.867 0.966 2.742 3.382 1.427 1.453 0.093 4.345" Properties=species:S:1:pos:R:3 comment="YCu2W (PBE, optimized geometry)" volume_a3_per_cell=68 polymorph_energy_mev_per_atom=106 formation_enthalpy_0k_ev_per_fu=1.61 crystal_system=cubic pbc="T T T"
Cu 6.442 1.957 5.053
Cu 2.147 0.652 1.684
W 4.295 1.304 3.369
Y 0.000 0.000 0.000

***

[6]
5
Lattice="-2.053 2.595 -3.366 -0.860 -3.915 -2.493 -4.163 -0.471 2.176" Properties=species:S:1:pos:R:3 comment="RhPbF3 (PBE, optimized geometry)" volume_a3_per_cell=105 polymorph_energy_mev_per_atom=244 formation_energy_uncorrected_ev_per_fu=-4.65 crystal_system=cubic pbc="T T T"
F -2.081 -0.236 1.088
Rh -3.538 -0.896 -1.842
F -0.430 -1.957 -1.247
Pb 0.000 0.000 0.000
F -1.027 1.298 -1.683

***

[7]
8
Lattice="5.220 0.000 0.000 0.000 6.748 -0.220 0.000 -3.185 5.953" Properties=species:S:1:pos:R:3 comment="PrHoMg6 (PBE, optimized geometry)" volume_a3_per_cell=206 formation_enthalpy_0k_ev_per_fu=-0.63 crystal_system=hexagonal pbc="T T T"
Mg 0.000 2.627 2.342
Mg 2.610 2.605 0.437
Mg 2.610 4.325 3.205
Mg 0.000 1.018 5.354
Mg 2.610 5.866 0.329
Pr 0.000 -2.356 5.438
Mg 0.000 -0.787 2.450
Ho 2.610 0.953 3.382